Entry 1:
Below is a relaxed TbSm3Y2 crystal, with properties calculated at the PBE level.

Values from the calculation:
Fermi-level density of states = 1.31 states/eV per atom
SG = C2/c, No. 15

a = 7.255 Å, b = 6.283 Å, c = 9.653 Å
α = 102.52°, β = 112.07°, γ = 90.00°
Fractional positions:
1 Tb 0.624 0.750 0.000
2 Tb 0.376 0.250 0.000
3 Sm 0.874 0.250 0.000
4 Sm 0.126 0.750 0.000
5 Sm 0.042 0.026 0.334
6 Sm 0.708 0.474 0.666
7 Sm 0.292 0.526 0.334
8 Sm 0.958 0.974 0.666
9 Y 0.791 0.529 0.333
10 Y 0.542 0.029 0.333
11 Y 0.458 0.971 0.667
12 Y 0.209 0.471 0.667


Entry 2:
Below is a relaxed Sm2Tm2Zn crystal, with properties calculated at the PBE level.

Values from the calculation:
Fermi-level density of states = 1.34 states/eV per atom
SG = I4_1/amd, No. 141
Energy relative to the lowest polymorph listed for this composition = 136 meV/atom

a = 5.011 Å, b = 5.011 Å, c = 12.391 Å
α = 101.67°, β = 101.67°, γ = 90.00°
Fractional positions:
1 Sm 0.425 0.925 0.849
2 Sm 0.675 0.675 0.349
3 Sm 0.325 0.325 0.651
4 Sm 0.075 0.575 0.151
5 Tm 0.819 0.819 0.638
6 Tm 0.569 0.069 0.138
7 Tm 0.931 0.431 0.862
8 Tm 0.181 0.181 0.362
9 Zn 0.500 0.500 0.000
10 Zn 0.250 0.750 0.500


Entry 3:
Below is a relaxed Na2TlPO4 crystal, with properties calculated at the PBE level.

Values from the calculation:
Fermi-level density of states = 0.00 states/eV per atom
SG = I-42m, No. 121
Energy relative to the elements, uncorrected = -15.6 eV per formula unit

a = 5.666 Å, b = 5.505 Å, c = 5.505 Å
α = 86.59°, β = 59.02°, γ = 59.02°
Fractional positions:
1 Na 0.000 0.250 0.750
2 Na 0.000 0.750 0.250
3 Tl 0.500 0.000 0.000
4 P 0.500 0.500 0.500
5 O 0.181 0.780 0.540
6 O 0.819 0.460 0.220
7 O 0.500 0.540 0.780
8 O 0.500 0.220 0.460


Entry 4:
Below is a relaxed Sr2LaTlH crystal, with properties calculated at the PBE level.

Values from the calculation:
Fermi-level density of states = 0.89 states/eV per atom
SG = P4/mmm, No. 123

a = 5.290 Å, b = 5.290 Å, c = 5.235 Å
α = 90.00°, β = 90.00°, γ = 90.00°
Last column: magnetic moment on the atom in μB.
Fractional positions:
1 Sr 0.000 0.500 0.000  0.04
2 Sr 0.500 0.000 0.000  0.04
3 Tl 0.500 0.500 0.500  -0.01
4 H 0.000 0.000 0.000  -0.01
5 La 0.000 0.000 0.500  0.23


Entry 5:
Below is a relaxed CoAs2W crystal, with properties calculated at the PBE level.

Values from the calculation:
Fermi-level density of states = 0.33 states/eV per atom
SG = R3m, No. 160

a = 10.333 Å, b = 10.333 Å, c = 10.333 Å
α = 15.91°, β = 15.91°, γ = 15.91°
Last column: magnetic moment on the atom in μB.
Fractional positions:
1 As 0.023 0.023 0.023  -0.01
2 As 0.220 0.220 0.220  -0.02
3 Co 0.496 0.496 0.496  0.61
4 W 0.761 0.761 0.761  -0.01


Entry 6:
Below is a relaxed Be2Zn2Hg crystal, with properties calculated at the PBE level.

Values from the calculation:
Fermi-level density of states = 0.32 states/eV per atom
SG = I4/mmm, No. 139
Energy relative to the lowest polymorph listed for this composition = 19 meV/atom

a = 3.065 Å, b = 3.065 Å, c = 8.053 Å
α = 79.03°, β = 79.03°, γ = 90.00°
Fractional positions:
1 Be 0.750 0.250 0.500
2 Be 0.250 0.750 0.500
3 Zn 0.372 0.372 0.256
4 Zn 0.628 0.628 0.744
5 Hg 0.000 0.000 0.000


Entry 7:
Below is a relaxed CoSb3C crystal, with properties calculated at the PBE level.

Values from the calculation:
Fermi-level density of states = 0.90 states/eV per atom
SG = Pm-3m, No. 221
Energy relative to the lowest polymorph listed for this composition = 240 meV/atom
Energy relative to the elements, uncorrected = 7.4 eV per formula unit

a = 4.843 Å, b = 4.843 Å, c = 4.843 Å
α = 90.00°, β = 90.00°, γ = 90.00°
Fractional positions:
1 Sb 0.000 0.500 0.000
2 Sb 0.000 0.000 0.500
3 Sb 0.500 0.000 0.000
4 C 0.500 0.500 0.500
5 Co 0.000 0.000 0.000


Entry 8:
Below is a relaxed BaCdSn2Au crystal, with properties calculated at the PBE level.

Values from the calculation:
Fermi-level density of states = 0.32 states/eV per atom
SG = I-4m2, No. 119
Energy relative to the lowest polymorph listed for this composition = 0 meV/atom

a = 4.904 Å, b = 4.904 Å, c = 6.874 Å
α = 110.90°, β = 110.90°, γ = 90.00°
Fractional positions:
1 Ba 0.000 0.000 0.000
2 Cd 0.250 0.750 0.500
3 Sn 0.623 0.623 0.246
4 Sn 0.377 0.377 0.754
5 Au 0.750 0.250 0.500


Entry 9:
Below is a relaxed AlIn4As crystal, with properties calculated at the PBE level.

Values from the calculation:
Fermi-level density of states = 0.73 states/eV per atom
SG = F-43m, No. 216

a = 6.090 Å, b = 6.090 Å, c = 6.090 Å
α = 60.00°, β = 60.00°, γ = 60.00°
Fractional positions:
1 Al 0.750 0.750 0.750
2 In 0.876 0.375 0.375
3 In 0.375 0.375 0.876
4 In 0.375 0.876 0.375
5 In 0.375 0.375 0.375
6 As 0.000 0.000 0.000


Entry 10:
Below is a relaxed Si5W crystal, with properties calculated at the PBE level.

Values from the calculation:
Fermi-level density of states = 0.54 states/eV per atom
SG = F-43m, No. 216
Energy relative to the lowest polymorph listed for this composition = 368 meV/atom
Energy relative to the elements, uncorrected = 3.6 eV per formula unit

a = 4.913 Å, b = 4.913 Å, c = 4.913 Å
α = 60.00°, β = 60.00°, γ = 60.00°
Fractional positions:
1 Si 0.250 0.250 0.250
2 Si 0.625 0.625 0.625
3 Si 0.625 0.625 0.126
4 Si 0.126 0.625 0.625
5 Si 0.625 0.126 0.625
6 W 0.000 0.000 0.000


Entry 11:
Below is a relaxed Ca5Si crystal, with properties calculated at the PBE level.

Values from the calculation:
Fermi-level density of states = 0.86 states/eV per atom
SG = P4/mmm, No. 123
Energy relative to the lowest polymorph listed for this composition = 0 meV/atom
Energy relative to the elements, uncorrected = -0.6 eV per formula unit

a = 3.696 Å, b = 3.696 Å, c = 15.362 Å
α = 90.00°, β = 90.00°, γ = 90.00°
Fractional positions:
1 Ca 0.000 0.000 0.888
2 Ca 0.000 0.000 0.112
3 Ca 0.500 0.500 0.690
4 Ca 0.500 0.500 0.310
5 Ca 0.000 0.000 0.500
6 Si 0.500 0.500 0.000


Entry 12:
Below is a relaxed TlHg4Pd5 crystal, with properties calculated at the PBE level.

Values from the calculation:
Fermi-level density of states = 0.46 states/eV per atom
SG = P4/mmm, No. 123

a = 3.375 Å, b = 3.375 Å, c = 16.152 Å
α = 90.00°, β = 90.00°, γ = 90.00°
Fractional positions:
1 Tl 0.000 0.000 0.000
2 Hg 0.000 0.000 0.204
3 Hg 0.000 0.000 0.402
4 Hg 0.000 0.000 0.598
5 Hg 0.000 0.000 0.796
6 Pd 0.500 0.500 0.104
7 Pd 0.500 0.500 0.304
8 Pd 0.500 0.500 0.500
9 Pd 0.500 0.500 0.696
10 Pd 0.500 0.500 0.896


Entry 13:
Below is a relaxed Rb4TeI2 crystal, with properties calculated at the PBE level.

Values from the calculation:
SG = I4/mmm, No. 139
Energy relative to the lowest polymorph listed for this composition = 100 meV/atom
Energy relative to the elements, uncorrected = -8.0 eV per formula unit

a = 6.849 Å, b = 6.849 Å, c = 10.801 Å
α = 71.51°, β = 71.51°, γ = 90.00°
Fractional positions:
1 I 0.363 0.363 0.274
2 I 0.637 0.637 0.726
3 Te 0.000 0.000 0.000
4 Rb 0.178 0.178 0.644
5 Rb 0.822 0.822 0.356
6 Rb 0.000 0.500 0.000
7 Rb 0.500 0.000 0.000


Entry 14:
Below is a relaxed Th2CdCo2 crystal, with properties calculated at the PBE level.

Values from the calculation:
Fermi-level density of states = 0.98 states/eV per atom
SG = Cmmm, No. 65

a = 3.682 Å, b = 3.906 Å, c = 7.792 Å
α = 104.51°, β = 90.00°, γ = 90.00°
Fractional positions:
1 Th 0.500 0.648 0.295
2 Th 0.500 0.352 0.705
3 Cd 0.000 0.000 0.000
4 Co 0.000 0.184 0.369
5 Co 0.000 0.816 0.631


Entry 15:
Below is a relaxed V3GaPd crystal, with properties calculated at the PBE level.

Values from the calculation:
Fermi-level density of states = 1.54 states/eV per atom
SG = Pm-3m, No. 221
Energy relative to the lowest polymorph listed for this composition = 0 meV/atom

a = 4.465 Å, b = 4.465 Å, c = 4.465 Å
α = 90.00°, β = 90.00°, γ = 90.00°
Last column: magnetic moment on the atom in μB.
Fractional positions:
1 Pd 0.500 0.500 0.500  0.07
2 Ga 0.000 0.000 0.000  -0.03
3 V 0.000 0.500 0.000  0.59
4 V 0.000 0.000 0.500  0.59
5 V 0.500 0.000 0.000  0.59


Entry 16:
Below is a relaxed Pr5Nd3Pt2 crystal, with properties calculated at the PBE level.

Values from the calculation:
Fermi-level density of states = 1.32 states/eV per atom
SG = Ibam, No. 72

a = 7.142 Å, b = 10.338 Å, c = 10.338 Å
α = 77.75°, β = 69.79°, γ = 69.79°
Fractional positions:
1 Pr 0.250 0.500 0.500
2 Pr 0.750 0.500 0.500
3 Pr 0.519 0.731 0.731
4 Pr 0.981 0.269 0.269
5 Pr 0.481 0.269 0.269
6 Pr 0.019 0.731 0.731
7 Pr 0.070 0.634 0.226
8 Pr 0.930 0.366 0.774
9 Pr 0.570 0.226 0.634
10 Pr 0.430 0.774 0.366
11 Nd 0.250 0.000 0.000
12 Nd 0.750 0.000 0.000
13 Nd 0.322 0.418 0.937
14 Nd 0.678 0.582 0.063
15 Nd 0.822 0.937 0.418
16 Nd 0.178 0.063 0.582
17 Pt 0.145 0.755 0.955
18 Pt 0.855 0.245 0.045
19 Pt 0.645 0.955 0.755
20 Pt 0.355 0.045 0.245


no.,VASP energy (eV/atom)
1,-5.284
2,-3.923
3,-5.726
4,-3.035
5,-7.147
6,-1.731
7,-4.251
8,-3.308
9,-2.818
10,-6.084
11,-2.678
12,-3.093
13,-2.585
14,-6.298
15,-5.995
16,-5.316